No. 1
# TlSeBr2 | Alexandria via LeMat-Bulk | PBE | relaxed
data_TlSeBr2
_symmetry_space_group_name_H-M 'P m m m'
_symmetry_Int_Tables_number 47
_cell_length_a 3.9608
_cell_length_b 4.4295
_cell_length_c 7.1535
_cell_angle_alpha 90.00
_cell_angle_beta 90.00
_cell_angle_gamma 90.00
loop_
_symmetry_equiv_pos_as_xyz
'x,y,z'
'-x,-y,-z'
'-x,-y,z'
'x,y,-z'
'x,-y,-z'
'-x,y,z'
'-x,y,-z'
'x,-y,z'
loop_
_atom_site_label
_atom_site_fract_x
_atom_site_fract_y
_atom_site_fract_z
Tl1 0.0000 0.0000 0.0000
Se1 0.5000 0.0000 0.5000
Br1 0.0000 0.5000 0.5000
Br2 0.5000 0.5000 0.0000
# Polymorph energy (0 for the lowest one) (meV per atom): 194

=====

No. 2
# Tl6Se3Br | Alexandria via LeMat-Bulk | PBE | relaxed
data_Tl6Se3Br
_symmetry_space_group_name_H-M 'P 1 21/m 1'
_symmetry_Int_Tables_number 11
_cell_length_a 11.9980
_cell_length_b 4.5597
_cell_length_c 13.2579
_cell_angle_alpha 90.00
_cell_angle_beta 102.42
_cell_angle_gamma 90.00
loop_
_symmetry_equiv_pos_as_xyz
'x,y,z'
'-x,-y,-z'
'-x,y+1/2,-z'
'x,-y+1/2,z'
loop_
_atom_site_label
_atom_site_fract_x
_atom_site_fract_y
_atom_site_fract_z
Tl1 0.0018 0.2500 0.1248
Tl2 0.1071 0.7500 0.4434
Tl3 0.2171 0.2500 0.7454
Tl4 0.3070 0.2500 0.2476
Tl5 0.3511 0.7500 0.0218
Tl6 0.3994 0.2500 0.5791
Se1 0.0455 0.7500 0.6526
Se2 0.1653 0.2500 0.9584
Se3 0.3489 0.7500 0.4073
Br1 0.4462 0.7500 0.8127
# E_tot (eV per atom): -3.05

=====

No. 3
# TlSeBr2 | Alexandria via LeMat-Bulk | PBE | relaxed
data_TlSeBr2
_symmetry_space_group_name_H-M 'C 1 2/m 1'
_symmetry_Int_Tables_number 12
_cell_length_a 11.0909
_cell_length_b 4.4355
_cell_length_c 6.0985
_cell_angle_alpha 90.00
_cell_angle_beta 123.19
_cell_angle_gamma 90.00
loop_
_symmetry_equiv_pos_as_xyz
'x,y,z'
'-x,-y,-z'
'-x,y,-z'
'x,-y,z'
'x+1/2,y+1/2,z'
'-x+1/2,-y+1/2,-z'
'-x+1/2,y+1/2,-z'
'x+1/2,-y+1/2,z'
loop_
_atom_site_label
_atom_site_fract_x
_atom_site_fract_y
_atom_site_fract_z
Tl1 0.0000 0.0000 0.0000
Se1 0.0000 0.5000 0.5000
Br1 0.1841 0.0000 0.6841
# Polymorph energy (0 for the lowest one) (meV per atom): 119

=====

No. 4
# TlSeBr3 | Alexandria via LeMat-Bulk | PBE | relaxed
data_TlSeBr3
_symmetry_space_group_name_H-M 'P m -3 m'
_symmetry_Int_Tables_number 221
_symmetry_space_group_name_Hall '-P 4 2 3'
_cell_length_a 5.6730
_cell_length_b 5.6730
_cell_length_c 5.6730
_cell_angle_alpha 90.00
_cell_angle_beta 90.00
_cell_angle_gamma 90.00
loop_
_atom_site_label
_atom_site_fract_x
_atom_site_fract_y
_atom_site_fract_z
Tl1 0.0000 0.0000 0.0000
Se1 0.5000 0.5000 0.5000
Br1 0.0000 0.0000 0.5000
# Polymorph energy (0 for the lowest one) (meV per atom): 504

=====

No. 5
# Tl6Se3Br14 | Alexandria via LeMat-Bulk | PBE | relaxed
data_Tl6Se3Br14
_symmetry_space_group_name_H-M 'P 3'
_symmetry_Int_Tables_number 143
_cell_length_a 11.9748
_cell_length_b 11.9748
_cell_length_c 7.3423
_cell_angle_alpha 90.00
_cell_angle_beta 90.00
_cell_angle_gamma 120.00
loop_
_symmetry_equiv_pos_as_xyz
'x,y,z'
'-y,x-y,z'
'-x+y,-x,z'
loop_
_atom_site_label
_atom_site_fract_x
_atom_site_fract_y
_atom_site_fract_z
Tl1 0.0431 0.6080 0.0000
Tl2 0.2966 0.0730 0.5238
Se1 0.0000 0.0000 0.9751
Se2 0.3333 0.6667 0.4583
Se3 0.6667 0.3333 0.7751
Br1 0.0000 0.0000 0.3020
Br2 0.0659 0.8424 0.7357
Br3 0.1610 0.4454 0.2332
Br4 0.3333 0.6667 0.7879
Br5 0.4649 0.1881 0.9748
Br6 0.5265 0.3969 0.5715
# E_tot (eV per atom): -2.49

=====

No. 6
# TlSe4Br | Alexandria via LeMat-Bulk | PBE | relaxed
data_TlSe4Br
_symmetry_space_group_name_H-M 'F -4 3 m'
_symmetry_Int_Tables_number 216
_symmetry_space_group_name_Hall 'F -4 2 3'
_cell_length_a 8.4022
_cell_length_b 8.4022
_cell_length_c 8.4022
_cell_angle_alpha 90.00
_cell_angle_beta 90.00
_cell_angle_gamma 90.00
loop_
_atom_site_label
_atom_site_fract_x
_atom_site_fract_y
_atom_site_fract_z
Tl1 0.0000 0.0000 0.0000
Se1 0.1183 0.1183 0.3817
Br1 0.2500 0.2500 0.7500
# E_tot (eV per atom): -2.74

=====

No. 7
# Tl12Se5Br | Alexandria via LeMat-Bulk | PBE | relaxed
data_Tl12Se5Br
_symmetry_space_group_name_H-M 'C 1 2/m 1'
_symmetry_Int_Tables_number 12
_cell_length_a 7.5286
_cell_length_b 13.5050
_cell_length_c 12.5485
_cell_angle_alpha 90.00
_cell_angle_beta 100.17
_cell_angle_gamma 90.00
loop_
_symmetry_equiv_pos_as_xyz
'x,y,z'
'-x,-y,-z'
'-x,y,-z'
'x,-y,z'
'x+1/2,y+1/2,z'
'-x+1/2,-y+1/2,-z'
'-x+1/2,y+1/2,-z'
'x+1/2,-y+1/2,z'
loop_
_atom_site_label
_atom_site_fract_x
_atom_site_fract_y
_atom_site_fract_z
Tl1 0.0959 0.0000 0.3520
Tl2 0.1291 0.3215 0.3523
Tl3 0.2007 0.5000 0.1376
Tl4 0.2039 0.1655 0.1359
Se1 0.0000 0.0000 0.0000
Se2 0.0000 0.1658 0.5000
Se3 0.0000 0.3337 0.0000
Br1 0.0000 0.5000 0.5000
# E_tot (eV per atom): -3.01

=====

No. 8
# TlSeBr3 | Alexandria via LeMat-Bulk | PBE | relaxed
data_TlSeBr3
_symmetry_space_group_name_H-M 'P -1'
_symmetry_Int_Tables_number 2
_cell_length_a 4.8707
_cell_length_b 9.1789
_cell_length_c 9.1864
_cell_angle_alpha 78.04
_cell_angle_beta 81.77
_cell_angle_gamma 82.10
loop_
_symmetry_equiv_pos_as_xyz
'x,y,z'
'-x,-y,-z'
loop_
_atom_site_label
_atom_site_fract_x
_atom_site_fract_y
_atom_site_fract_z
Tl1 0.0408 0.2050 0.2043
Se1 0.4990 0.6789 0.3213
Br1 0.4287 0.7011 0.0538
Br2 0.4326 0.0529 0.7014
Br3 0.4391 0.3736 0.3741
# Polymorph energy (0 for the lowest one) (meV per atom): 0

=====

No. 9
# Tl8Se4Br | Alexandria via LeMat-Bulk | PBE | relaxed
data_Tl8Se4Br
_symmetry_space_group_name_H-M 'F -4 3 m'
_symmetry_Int_Tables_number 216
_symmetry_space_group_name_Hall 'F -4 2 3'
_cell_length_a 13.0770
_cell_length_b 13.0770
_cell_length_c 13.0770
_cell_angle_alpha 90.00
_cell_angle_beta 90.00
_cell_angle_gamma 90.00
loop_
_atom_site_label
_atom_site_fract_x
_atom_site_fract_y
_atom_site_fract_z
Tl1 0.1090 0.1090 0.1090
Tl2 0.1364 0.1364 0.6364
Se1 0.1298 0.1298 0.8702
Br1 0.2500 0.2500 0.2500
# Polymorph energy (0 for the lowest one) (meV per atom): 16

=====

No. 10
# TlSeBr2 | Alexandria via LeMat-Bulk | PBE | relaxed
data_TlSeBr2
_symmetry_space_group_name_H-M 'R 3 m'
_symmetry_Int_Tables_number 160
_symmetry_space_group_name_Hall 'R 3 -2"'
_cell_length_a 4.4278
_cell_length_b 4.4278
_cell_length_c 21.7888
_cell_angle_alpha 90.00
_cell_angle_beta 90.00
_cell_angle_gamma 120.00
loop_
_atom_site_label
_atom_site_fract_x
_atom_site_fract_y
_atom_site_fract_z
Tl1 0.0000 0.0000 0.0000
Se1 0.0000 0.0000 0.7251
Br1 0.0000 0.0000 0.2534
Br2 0.0000 0.0000 0.4667
# Polymorph energy (0 for the lowest one) (meV per atom): 228

=====

No. 11
# TlSeBr2 | Alexandria via LeMat-Bulk | PBE | relaxed
data_TlSeBr2
_symmetry_space_group_name_H-M 'P 1 2/m 1'
_symmetry_Int_Tables_number 10
_cell_length_a 4.5192
_cell_length_b 4.3845
_cell_length_c 6.8759
_cell_angle_alpha 90.00
_cell_angle_beta 108.29
_cell_angle_gamma 90.00
loop_
_symmetry_equiv_pos_as_xyz
'x,y,z'
'-x,-y,-z'
'-x,y,-z'
'x,-y,z'
loop_
_atom_site_label
_atom_site_fract_x
_atom_site_fract_y
_atom_site_fract_z
Tl1 0.0000 0.0000 0.0000
Se1 0.5000 0.0000 0.5000
Br1 0.3963 0.5000 0.7195
# Polymorph energy (0 for the lowest one) (meV per atom): 130

=====

No. 12
# Tl3SeBr | Alexandria via LeMat-Bulk | PBE | relaxed
data_Tl3SeBr
_symmetry_space_group_name_H-M 'C 1 2/m 1'
_symmetry_Int_Tables_number 12
_cell_length_a 12.8769
_cell_length_b 4.3915
_cell_length_c 13.0569
_cell_angle_alpha 90.00
_cell_angle_beta 103.48
_cell_angle_gamma 90.00
loop_
_symmetry_equiv_pos_as_xyz
'x,y,z'
'-x,-y,-z'
'-x,y,-z'
'x,-y,z'
'x+1/2,y+1/2,z'
'-x+1/2,-y+1/2,-z'
'-x+1/2,y+1/2,-z'
'x+1/2,-y+1/2,z'
loop_
_atom_site_label
_atom_site_fract_x
_atom_site_fract_y
_atom_site_fract_z
Tl1 0.1022 0.0000 0.1838
Tl2 0.1154 0.5000 0.9273
Tl3 0.1178 0.0000 0.6095
Se1 0.2320 0.0000 0.8431
Br1 0.0630 0.5000 0.3671
# E_tot (eV per atom): -2.98